# 1
CsZnHg2Au PBE relaxed; energy of formation = -0.138 eV per atom
1.0
5.648 0.000 0.000
0.000 5.648 0.000
0.000 0.000 5.076
Cs Zn Hg Au
1 1 2 1
Direct
0.000 0.000 0.000
0.500 0.500 0.000
0.000 0.500 0.500
0.500 0.000 0.500
0.500 0.500 0.500


# 2
Cs2HoAuI6 PBE relaxed; formation energy from raw total energies = -1171 meV/atom
1.0
8.407 0.000 0.000
-1.770 8.358 0.000
-3.323 -4.124 6.787
Cs Ho Au I
2 1 1 6
Direct
0.250 0.249 0.498
0.750 0.751 0.502
0.000 0.500 0.000
0.500 0.000 0.000
0.194 0.857 0.002
0.221 0.719 0.445
0.283 0.343 0.001
0.717 0.657 0.999
0.779 0.281 0.555
0.806 0.143 0.998


# 3
Cs2HoAuO4 PBE relaxed; formation energy from raw total energies = -1402 meV/atom
1.0
0.000 7.295 11.764
3.090 0.000 11.764
3.090 7.295 0.000
Cs Ho Au O
4 2 2 8
Direct
0.060 0.060 0.690
0.310 0.310 0.940
0.690 0.690 0.060
0.940 0.940 0.310
0.125 0.125 0.125
0.875 0.875 0.875
0.375 0.375 0.375
0.625 0.625 0.625
0.033 0.706 0.521
0.241 0.521 0.706
0.294 0.967 0.759
0.479 0.759 0.967
0.521 0.241 0.033
0.706 0.033 0.241
0.759 0.479 0.294
0.967 0.294 0.479


# 4
CsHo2Au2O6 PBE relaxed; formation energy from raw total energies = -1768 meV/atom
1.0
6.203 0.000 0.000
3.100 6.122 0.000
2.703 -0.207 6.541
Cs Ho Au O
1 2 2 6
Direct
0.000 0.000 0.000
0.323 0.356 0.999
0.677 0.644 0.001
0.236 0.530 0.501
0.764 0.470 0.499
0.093 0.539 0.807
0.366 0.545 0.195
0.466 0.004 0.115
0.534 0.996 0.885
0.634 0.455 0.805
0.907 0.461 0.193


# 5
CsHo2AuS4 PBE relaxed; formation energy from raw total energies = -1509 meV/atom
1.0
2.038 -7.082 0.000
2.038 7.082 0.000
0.000 0.000 14.160
Cs Ho Au S
2 4 2 8
Direct
0.117 0.883 0.750
0.883 0.117 0.250
0.370 0.630 0.566
0.370 0.630 0.934
0.630 0.370 0.066
0.630 0.370 0.434
0.163 0.837 0.250
0.837 0.163 0.750
0.000 0.000 0.000
0.000 0.000 0.500
0.253 0.747 0.096
0.253 0.747 0.404
0.436 0.564 0.750
0.564 0.436 0.250
0.747 0.253 0.596
0.747 0.253 0.904


# 6
CsAu3I PBE relaxed; formation energy from raw total energies = 1110 meV/atom
1.0
5.975 0.000 0.000
0.000 5.975 0.000
0.000 0.000 5.975
Cs Au I
1 3 1
Direct
0.000 0.000 0.000
0.000 0.000 0.500
0.000 0.500 0.000
0.500 0.000 0.000
0.500 0.500 0.500